# 1
DFT (PBE) results for a relaxed Rb2TbBe2S4 crystal.

Cell lengths 14.697, 3.719, 8.045 Å; angles 90.00, 110.86, 90.00 degrees
Space group C2/m (No. 12)
Inequivalent atoms, fractional coordinates:
Rb (0.130, 0.000, 0.043) [4 per cell]
Tb (0.000, 0.000, 0.500) [2 per cell]
Be (0.172, 0.500, 0.474) [4 per cell]
S (0.036, 0.500, 0.273) [4 per cell]
S (0.205, 0.000, 0.633) [4 per cell]

Properties
* calculated volume: 22.83 Å³/atom
* formation energy (no corrections): -1197 meV/atom
* density: 3.85 Mg/m³
* DOS at the Fermi energy: 6.8 states/eV/cell


# 2
DFT (PBE) results for a relaxed RbThBeS4 crystal.

Cell lengths 6.831, 5.626, 9.423 Å; angles 90.00, 104.35, 90.00 degrees
Space group P2_1/m (No. 11)
Inequivalent atoms, fractional coordinates:
Rb (0.242, 0.250, 0.457) [2 per cell]
Th (0.239, 0.250, 0.943) [2 per cell]
Be (0.249, 0.750, 0.169) [2 per cell]
S (0.061, 0.750, 0.308) [2 per cell]
S (0.106, 0.750, 0.943) [2 per cell]
S (0.490, 0.004, 0.202) [4 per cell]

Properties
* calculated volume: 25.06 Å³/atom
* formation energy (no corrections): -1408 meV/atom
* density: 4.30 Mg/m³
* DOS at the Fermi energy: 3.4 states/eV/cell


# 3
DFT (PBE) results for a relaxed Rb2TiBeS4 crystal.

Cell lengths 6.846, 6.846, 9.233 Å; angles 90.00, 90.00, 90.00 degrees
Space group I-4 (No. 82)
Inequivalent atoms, fractional coordinates:
Rb (0.000, 0.000, 0.000) [2 per cell]
Rb (0.000, 0.500, 0.250) [2 per cell]
Ti (0.000, 0.500, 0.750) [2 per cell]
Be (0.000, 0.000, 0.500) [2 per cell]
S (0.112, 0.758, 0.619) [8 per cell]

Properties
* calculated volume: 27.05 Å³/atom
* formation energy (no corrections): -1210 meV/atom
* density: 2.73 Mg/m³
* DOS at the Fermi energy: 0.0 states/eV/cell


# 4
DFT (PBE) results for a relaxed Rb2TmBe2S4 crystal.

Cell lengths 14.506, 3.703, 7.957 Å; angles 90.00, 110.01, 90.00 degrees
Space group C2/m (No. 12)
Inequivalent atoms, fractional coordinates:
Rb (0.131, 0.000, 0.042) [4 per cell]
Tm (0.000, 0.000, 0.500) [2 per cell]
Be (0.171, 0.500, 0.478) [4 per cell]
S (0.035, 0.500, 0.277) [4 per cell]
S (0.203, 0.000, 0.635) [4 per cell]

Properties
* calculated volume: 22.31 Å³/atom
* formation energy (no corrections): -1188 meV/atom
* density: 4.02 Mg/m³
* DOS at the Fermi energy: 6.7 states/eV/cell